Record 1
A relaxed structure of MoPRu, computed with PBE.

Lattice parameters (Å, degrees): 4.001 4.001 4.001 60.00 60.00 60.00
Fractional coordinates of all 3 atoms:
Mo1 0.500 0.500 0.500
P1 0.250 0.250 0.250
Ru1 0.000 0.000 0.000

Output
ρ = 8.36 Mg/m³
ΔH_f (0 K) = -0.144 eV/atom
total magnetization = 0.00 μB per atom
energy above the most stable polymorph in this dataset = 8.92 kcal/mol of atoms
total DFT energy (no corrections) = -25.95 eV/cell

---

Record 2
A relaxed structure of CuTc2Ni2, computed with PBE.

Lattice parameters (Å, degrees): 7.175 7.175 2.572 90.00 90.00 90.00
Fractional coordinates of all 10 atoms:
Ni1 0.383 0.883 0.000
Ni2 0.883 0.617 0.000
Ni3 0.617 0.117 0.000
Ni4 0.117 0.383 0.000
Tc1 0.179 0.679 0.500
Tc2 0.679 0.821 0.500
Tc3 0.821 0.321 0.500
Tc4 0.321 0.179 0.500
Cu1 0.000 0.000 0.000
Cu2 0.500 0.500 0.000

Output
ρ = 9.46 Mg/m³
ΔH_f (0 K) = 0.288 eV/atom
total magnetization = 0.00 μB per atom
total DFT energy (no corrections) = -69.90 eV/cell

---

Record 3
A relaxed structure of GaCoAgAu2, computed with PBE.

Lattice parameters (Å, degrees): 5.138 4.772 5.138 90.00 90.00 90.00
Last column: magnetic moment on the atom in μB.
Fractional coordinates of all 5 atoms:
Co1 0.000 0.500 0.000  2.15
Au1 0.000 0.000 0.500  0.00
Au2 0.500 0.000 0.000  0.03
Ga1 0.500 0.500 0.500  -0.01
Ag1 0.000 0.000 0.000  0.03

Output
ρ = 8.31 Mg/m³
ΔH_f (0 K) = 0.987 eV/atom
total magnetization = 0.43 μB per atom
total DFT energy (no corrections) = -14.61 eV/cell